Density functional theory data (PBE with a Hubbard U) for a relaxed structure of VO2.

Structure (POSCAR):
```
VO2
1.0
9.304 0.000 0.000
0.000 3.063 0.000
0.000 0.000 4.777
V O
4 8
direct
0.137 0.250 0.003 V
0.363 0.750 0.503 V
0.637 0.250 0.497 V
0.863 0.750 0.997 V
0.035 0.750 0.802 O
0.227 0.750 0.196 O
0.273 0.250 0.696 O
0.465 0.250 0.302 O
0.535 0.750 0.698 O
0.727 0.750 0.304 O
0.773 0.250 0.804 O
0.965 0.250 0.198 O
```

E_tot	-7.74	eV per atom
total magnetic moment	1.0	μB per formula unit
crystal system	orthorhombic